[1]
First-principles (PBE-GGA) data for MgTcSnH after structural relaxation, as listed in Alexandria via LeMat-Bulk.

Calculated values
Polymorph energy (0 for the lowest one) = 0.1466 eV per atom
DOS at the Fermi energy = 0.7424 states/eV per atom

Structure (POSCAR):
```
MgTcSnH
1.0
4.808 0.000 -0.003
0.000 3.342 0.000
-4.642 0.000 7.638
H Tc Sn Mg
2 2 2 2
Direct
0.445 0.500 0.017
0.445 0.000 0.517
0.618 0.000 0.063
0.618 0.500 0.563
0.912 0.500 0.361
0.912 0.000 0.861
0.307 0.000 0.256
0.307 0.500 0.756
```

***

[2]
First-principles (PBE-GGA) data for Li2TlAgH after structural relaxation, as listed in Alexandria via LeMat-Bulk.

Calculated values
Polymorph energy (0 for the lowest one) = 0.0000 eV per atom
DOS at the Fermi energy = 0.3424 states/eV per atom

Structure (POSCAR):
```
Li2TlAgH
1.0
-4.026 -1.450 -1.271
1.430 -0.271 -4.220
1.090 -3.550 0.597
Li Tl Ag H
2 1 1 1
Direct
0.000 0.500 0.000
0.500 0.000 0.000
0.500 0.500 0.500
0.000 0.000 0.500
0.000 0.000 0.000
```

***

[3]
First-principles (PBE-GGA) data for Ba2YZn after structural relaxation, as listed in Alexandria via LeMat-Bulk.

Calculated values
DOS at the Fermi energy = 1.4216 states/eV per atom
Energy of formation = 0.09 eV per atom

Structure (POSCAR):
```
Ba2YZn
1.0
-3.715 -0.937 -1.185
1.486 -2.825 -2.428
-0.656 -6.600 7.275
Zn Y Ba
1 1 2
Direct
0.500 0.500 0.750
0.500 0.500 0.250
0.000 0.000 0.958
0.000 0.000 0.542
```

***

[4]
First-principles (PBE-GGA) data for BaLa2Cd after structural relaxation, as listed in Alexandria via LeMat-Bulk.

Calculated values
Polymorph energy (0 for the lowest one) = 0.1756 eV per atom
DOS at the Fermi energy = 1.2155 states/eV per atom
Energy of formation = 0.07 eV per atom

Structure (POSCAR):
```
BaLa2Cd
1.0
6.147 0.000 0.000
-1.525 5.955 0.000
0.000 0.000 3.936
Ba La Cd
1 2 1
Direct
0.500 0.000 0.500
0.000 0.000 0.000
0.500 0.500 0.000
0.000 0.500 0.500
```

***

[5]
First-principles (PBE-GGA) data for CdReAu3 after structural relaxation, as listed in Alexandria via LeMat-Bulk.

Calculated values
Polymorph energy (0 for the lowest one) = 0.0000 eV per atom
DOS at the Fermi energy = 1.1824 states/eV per atom
Energy of formation = 1.13 eV per atom

Structure (POSCAR):
```
CdReAu3
1.0
5.069 0.000 0.000
0.000 5.069 0.000
0.000 0.000 5.069
Au Re Cd
3 1 1
Direct
0.000 0.500 0.000
0.000 0.000 0.500
0.500 0.000 0.000
0.000 0.000 0.000
0.500 0.500 0.500
```

***

[6]
First-principles (PBE-GGA) data for Te3Pt after structural relaxation, as listed in Alexandria via LeMat-Bulk.

Calculated values
DOS at the Fermi energy = 0.6480 states/eV per atom
Energy relative to the elements, uncorrected = 0.35 eV/f.u.

Structure (POSCAR):
```
Te3Pt
1.0
-2.529 2.948 0.049
-2.786 -2.373 -1.036
-1.441 -1.352 6.975
Te Pt
3 1
Direct
0.500 0.500 0.868
0.500 0.000 0.522
0.000 0.500 0.271
0.000 0.000 0.005
```

***

[7]
First-principles (PBE-GGA) data for TlP2Ru after structural relaxation, as listed in Alexandria via LeMat-Bulk.

Calculated values
Polymorph energy (0 for the lowest one) = 0.7183 eV per atom
DOS at the Fermi energy = 1.0091 states/eV per atom
Energy of formation = 0.67 eV per atom

Structure (POSCAR):
```
TlP2Ru
1.0
-0.551 4.331 -1.074
-3.921 -1.972 -0.974
-2.749 1.514 2.722
P Tl Ru
2 1 1
Direct
0.000 0.000 0.000
0.500 0.500 0.000
0.000 0.500 0.500
0.500 0.000 0.500
```

***

[8]
First-principles (PBE-GGA) data for La3Ho2Tl3 after structural relaxation, as listed in Alexandria via LeMat-Bulk.

Calculated values
Polymorph energy (0 for the lowest one) = 0.0649 eV per atom
DOS at the Fermi energy = 1.4099 states/eV per atom
Energy of formation = -0.25 eV per atom

Structure (POSCAR):
```
La3Ho2Tl3
1.0
-1.559 -2.208 -2.116
7.837 -1.627 -4.078
-2.516 -4.975 7.044
Tl La Ho
3 3 2
Direct
0.500 0.000 0.608
0.500 0.392 0.392
0.500 0.608 0.000
0.000 0.241 0.000
0.000 0.759 0.759
0.000 0.000 0.241
0.000 0.333 0.667
0.000 0.667 0.333
```

***

[9]
First-principles (PBE-GGA) data for Ba2CdTc2 after structural relaxation, as listed in Alexandria via LeMat-Bulk.

Calculated values
Polymorph energy (0 for the lowest one) = 0.0000 eV per atom
DOS at the Fermi energy = 1.4069 states/eV per atom
Energy of formation = 0.39 eV per atom

Structure (POSCAR):
```
Ba2CdTc2
1.0
3.602 0.000 0.000
0.000 3.602 0.000
1.801 1.801 11.098
Tc Cd Ba
2 1 2
Direct
0.750 0.250 0.500
0.250 0.750 0.500
0.000 0.000 0.000
0.380 0.380 0.241
0.620 0.620 0.759
```

***

[10]
First-principles (PBE-GGA) data for Sr2InPtBr after structural relaxation, as listed in Alexandria via LeMat-Bulk.

Calculated values
DOS at the Fermi energy = 0.6593 states/eV per atom
Energy relative to the elements, uncorrected = -2.21 eV/f.u.

Structure (POSCAR):
```
Sr2InPtBr
1.0
6.305 0.000 0.000
0.000 4.943 0.000
0.000 0.000 6.305
Br Pt In Sr
1 1 1 2
Direct
0.500 0.500 0.500
0.000 0.500 0.000
0.000 0.000 0.000
0.000 0.000 0.500
0.500 0.000 0.000
```

***

[11]
First-principles (PBE-GGA) data for LiTbNpSe3 after structural relaxation, as listed in Alexandria via LeMat-Bulk.

Calculated values
DOS at the Fermi energy = 1.7723 states/eV per atom
Energy relative to the elements, uncorrected = -8.23 eV/f.u.

Structure (POSCAR):
```
LiTbNpSe3
1.0
3.985 0.000 0.000
0.000 8.452 0.129
0.000 -2.098 8.546
Se Li Tb Np
6 2 2 2
Direct
0.250 0.778 0.507
0.750 0.903 0.134
0.750 0.424 0.172
0.250 0.097 0.866
0.250 0.576 0.828
0.750 0.222 0.493
0.750 0.914 0.420
0.250 0.086 0.580
0.250 0.665 0.167
0.750 0.335 0.833
0.750 0.824 0.785
0.250 0.176 0.215
```

***

[12]
First-principles (PBE-GGA) data for CsHg2Pb after structural relaxation, as listed in Alexandria via LeMat-Bulk.

Calculated values
DOS at the Fermi energy = 0.6943 states/eV per atom
Energy of formation = -0.15 eV per atom

Structure (POSCAR):
```
CsHg2Pb
1.0
-2.712 4.488 0.884
-2.491 0.732 4.641
3.719 4.546 4.327
Hg Cs Pb
2 1 1
Direct
0.706 0.706 0.882
0.294 0.294 0.118
0.500 0.500 0.500
0.000 0.000 0.000
```